[1]
Below is Cu2Si after structural relaxation, with properties calculated at the PBE level.

E   -4.02 eV per atom
Formation energy without anion corrections   151 kJ/mol of formula units
Calculated density   5.03 g/cm3

CIF file:
```
data_Cu2Si
_chemical_formula_sum 'Cu2 Si1'
_space_group_name_H-M_alt 'P 1'
_space_group_IT_number 1
_cell_length_a 3.3580
_cell_length_b 3.3580
_cell_length_c 4.5421
_cell_angle_alpha 90.00
_cell_angle_beta 90.00
_cell_angle_gamma 90.00
loop_
_space_group_symop_operation_xyz
'x,y,z'
loop_
_atom_site_label
_atom_site_fract_x
_atom_site_fract_y
_atom_site_fract_z
Cu1 0.0000 0.0000 0.5000
Cu2 0.5000 0.5000 0.0000
Si1 0.0000 0.0000 0.0000
```

---

[2]
Below is Cu2Si after structural relaxation, with properties calculated at the PBE level.

E   -4.48 eV per atom
Formation energy without anion corrections   18 kJ/mol of formula units
Calculated density   5.97 g/cm3

CIF file:
```
data_Cu2Si
_chemical_formula_sum 'Cu2 Si1'
_space_group_name_H-M_alt 'P 1'
_space_group_IT_number 1
_cell_length_a 4.0658
_cell_length_b 4.0658
_cell_length_c 2.6096
_cell_angle_alpha 90.00
_cell_angle_beta 90.00
_cell_angle_gamma 90.00
loop_
_space_group_symop_operation_xyz
'x,y,z'
loop_
_atom_site_label
_atom_site_fract_x
_atom_site_fract_y
_atom_site_fract_z
Cu1 0.0000 0.5000 0.5000
Cu2 0.5000 0.0000 0.5000
Si1 0.0000 0.0000 0.0000
```

---

[3]
Below is Cu5Si after structural relaxation, with properties calculated at the PBE level.

E   -4.37 eV per atom
Formation energy without anion corrections   -33 kJ/mol of formula units
Calculated density   7.99 g/cm3
ΔE to the lowest computed polymorph   0 meV/atom

CIF file:
```
data_Cu5Si
_chemical_formula_sum 'Cu5 Si1'
_space_group_name_H-M_alt 'P 1'
_space_group_IT_number 1
_cell_length_a 4.4887
_cell_length_b 4.4887
_cell_length_c 4.1187
_cell_angle_alpha 90.00
_cell_angle_beta 90.00
_cell_angle_gamma 120.00
loop_
_space_group_symop_operation_xyz
'x,y,z'
loop_
_atom_site_label
_atom_site_fract_x
_atom_site_fract_y
_atom_site_fract_z
Cu1 0.0081 0.0000 0.0000
Cu2 0.6586 0.3253 0.0000
Cu3 0.3333 0.6747 0.0000
Cu4 0.0000 0.3333 0.5000
Cu5 0.6667 0.6667 0.5000
Si1 0.3333 0.0000 0.5000
```